Record 1
Entry from Alexandria: BaNiSn2 after structural relaxation (GGA-PBE).

Values from the calculation:
- D(E_F): 11.3 states/eV/cell
- Calculated volume: 435.50 Å³/cell
- Theoretical density: 6.6 g/cm³
- Formation energy: -1.630 eV/f.u.

a = 6.6258 Å, b = 11.9172 Å, c = 6.2603 Å
α = 90.00°, β = 118.24°, γ = 90.00°
Last column: nearest neighbours and their distance in Å.
Space group C2/c (No. 15)
One atom of each set of equivalent atoms:
Ba  0.0000  0.1170  0.2500 [4 per cell]  2 Ni 3.36, 6 Sn 3.52-3.63
Ni  0.0000  0.2190  0.7500 [4 per cell]  4 Sn 2.57-2.61
Sn  0.1091  0.3800  0.0681 [8 per cell]  2 Ni 2.57-2.61

---

Record 2
Entry from Alexandria: BaNi3Sn after structural relaxation (GGA-PBE).

Values from the calculation:
- Energy above the most stable polymorph in this dataset: 0 meV/atom
- D(E_F): 8.4 states/eV/cell
- Calculated volume: 115.28 Å³/cell
- Theoretical density: 6.2 g/cm³
- Formation energy: 1.557 eV/f.u.

a = 4.8669 Å, b = 4.8669 Å, c = 4.8669 Å
α = 90.00°, β = 90.00°, γ = 90.00°
Last column: nearest neighbours and their distance in Å.
Space group Pm-3m (No. 221)
One atom of each set of equivalent atoms:
Ba  0.0000  0.0000  0.0000 [1 per cell]  12 Ni 3.44
Ni  0.0000  0.5000  0.5000 [3 per cell]  2 Sn 2.43
Sn  0.5000  0.5000  0.5000 [1 per cell]  6 Ni 2.43

---

Record 3
Entry from Alexandria: BaNiSn2 after structural relaxation (GGA-PBE).

Values from the calculation:
- D(E_F): 5.1 states/eV/cell
- Calculated volume: 332.65 Å³/cell
- Theoretical density: 6.5 g/cm³
- Formation energy: -1.822 eV/f.u.

a = 4.4240 Å, b = 4.4240 Å, c = 19.6260 Å
α = 90.00°, β = 90.00°, γ = 120.00°
Last column: nearest neighbours and their distance in Å.
Space group R-3m (No. 166, hexagonal axes)
One atom of each set of equivalent atoms:
Ba  0.0000  0.0000  0.0000 [3 per cell]  6 Sn 3.51
Ni  0.0000  0.0000  0.5000 [3 per cell]  6 Sn 2.70
Sn  0.0000  0.0000  0.2105 [6 per cell]  3 Ni 2.70

---

Record 4
Entry from Alexandria: BaNiSn3 after structural relaxation (GGA-PBE).

Values from the calculation:
- D(E_F): 4.7 states/eV/cell
- Calculated volume: 263.50 Å³/cell
- Theoretical density: 7.0 g/cm³
- Formation energy: -2.368 eV/f.u.

a = 4.8760 Å, b = 4.8760 Å, c = 11.0827 Å
α = 90.00°, β = 90.00°, γ = 90.00°
Last column: nearest neighbours and their distance in Å.
Space group I4mm (No. 107)
One atom of each set of equivalent atoms:
Ba  0.0000  0.0000  0.0000 [2 per cell]  12 Sn 3.55-3.71, 5 Ni 3.80-3.86
Ni  0.0000  0.0000  0.6571 [2 per cell]  5 Sn 2.58-2.64
Sn  0.0000  0.0000  0.4245 [2 per cell]  1 Ni 2.58
Sn  0.0000  0.5000  0.2480 [4 per cell]  2 Ni 2.64

---

Record 5
Entry from Alexandria: Ba2SrNiSn after structural relaxation (GGA-PBE).

Values from the calculation:
- D(E_F): 4.5 states/eV/cell
- Calculated volume: 191.10 Å³/cell
- Theoretical density: 4.7 g/cm³
- Formation energy: -0.860 eV/f.u.

a = 6.1322 Å, b = 6.1322 Å, c = 5.0818 Å
α = 90.00°, β = 90.00°, γ = 90.00°
Last column: nearest neighbours and their distance in Å.
Space group P4/mmm (No. 123)
One atom of each set of equivalent atoms:
Ba  0.0000  0.5000  0.0000 [2 per cell]  2 Ni 3.07
Sr  0.0000  0.0000  0.5000 [1 per cell]  8 Ba 3.98, 4 Sn 4.34
Ni  0.5000  0.5000  0.0000 [1 per cell]  2 Sn 2.54
Sn  0.5000  0.5000  0.5000 [1 per cell]  2 Ni 2.54

---

Record 6
Entry from Alexandria: BaSr2NiSn after structural relaxation (GGA-PBE).

Values from the calculation:
- D(E_F): 4.8 states/eV/cell
- Calculated volume: 175.07 Å³/cell
- Theoretical density: 4.6 g/cm³
- Formation energy: -0.998 eV/f.u.

a = 5.8299 Å, b = 5.8299 Å, c = 5.1511 Å
α = 90.00°, β = 90.00°, γ = 90.00°
Last column: nearest neighbours and their distance in Å.
Space group P4/mmm (No. 123)
One atom of each set of equivalent atoms:
Ba  0.0000  0.0000  0.0000 [1 per cell]  8 Sr 3.89, 4 Sn 4.12
Sr  0.0000  0.5000  0.5000 [2 per cell]  2 Ni 2.91
Ni  0.5000  0.5000  0.5000 [1 per cell]  2 Sn 2.58
Sn  0.5000  0.5000  0.0000 [1 per cell]  2 Ni 2.58

---

> What is the formula in the first record?

BaNiSn2

---

> What is the D(E_F) in the sixth record?

4.8 states/eV/cell

---

> Among the records above, which one has the lowest theoretical density?

BaSr2NiSn

---

> What is the formation energy in the fourth record?

-2.368 eV/f.u.